# GGA-PBE ZnAg2Sb2, relaxed
data_ZnAg2Sb2
_cell_length_a 9.272
_cell_length_b 9.272
_cell_length_c 5.713
_cell_angle_alpha 90.00
_cell_angle_beta 90.00
_cell_angle_gamma 153.37
_space_group_name_H-M_alt 'P 1'
_space_group_IT_number 1
loop_
_space_group_symop_operation_xyz
'x,y,z'
loop_
_atom_site_label
_atom_site_fract_x
_atom_site_fract_y
_atom_site_fract_z
_atom_site_occupancy
Zn1 0.071 0.929 0.500 1
Zn2 0.929 0.071 0.000 1
Ag1 0.286 0.714 0.500 1
Ag2 0.498 0.502 0.749 1
Ag3 0.502 0.498 0.249 1
Ag4 0.714 0.286 0.000 1
Sb1 0.098 0.902 0.998 1
Sb2 0.326 0.674 0.000 1
Sb3 0.674 0.326 0.500 1
Sb4 0.902 0.098 0.498 1
# calculated total energy: -14.6 eV/f.u.
# SG: Cmc2_1



# GGA-PBE CoSnAs2, relaxed
data_CoSnAs2
_cell_length_a 6.597
_cell_length_b 6.597
_cell_length_c 6.597
_cell_angle_alpha 90.00
_cell_angle_beta 90.00
_cell_angle_gamma 90.00
_space_group_name_H-M_alt 'P 1'
_space_group_IT_number 1
loop_
_space_group_symop_operation_xyz
'x,y,z'
loop_
_atom_site_label
_atom_site_fract_x
_atom_site_fract_y
_atom_site_fract_z
_atom_site_occupancy
Co1 0.000 0.000 0.000 1
Co2 0.000 0.500 0.500 1
Co3 0.500 0.000 0.500 1
Co4 0.500 0.500 0.000 1
Sn1 0.250 0.250 0.750 1
Sn2 0.250 0.750 0.250 1
Sn3 0.750 0.250 0.250 1
Sn4 0.750 0.750 0.750 1
As1 0.000 0.000 0.500 1
As2 0.000 0.500 0.000 1
As3 0.250 0.250 0.250 1
As4 0.250 0.750 0.750 1
As5 0.500 0.000 0.000 1
As6 0.500 0.500 0.500 1
As7 0.750 0.250 0.750 1
As8 0.750 0.750 0.250 1
# calculated total energy: -18.4 eV/f.u.
# SG: F-43m
# M_tot: 1.02 μB per formula unit



# GGA-PBE NdTaPO, relaxed
data_NdTaPO
_cell_length_a 3.836
_cell_length_b 6.063
_cell_length_c 6.512
_cell_angle_alpha 90.00
_cell_angle_beta 90.00
_cell_angle_gamma 90.00
_space_group_name_H-M_alt 'P 1'
_space_group_IT_number 1
loop_
_space_group_symop_operation_xyz
'x,y,z'
loop_
_atom_site_label
_atom_site_fract_x
_atom_site_fract_y
_atom_site_fract_z
_atom_site_occupancy
Nd1 0.000 0.238 0.000 1
Nd2 0.000 0.762 0.500 1
Ta1 0.500 0.284 0.417 1
Ta2 0.500 0.716 0.917 1
P1 0.500 0.050 0.712 1
P2 0.500 0.950 0.212 1
O1 0.000 0.388 0.373 1
O2 0.000 0.612 0.873 1
# calculated total energy: -32.9 eV/f.u.
# SG: Pmc2_1
# M_tot: 0.01 μB per formula unit



# GGA-PBE SrRe4O12, relaxed
data_SrRe4O12
_cell_length_a 6.620
_cell_length_b 6.620
_cell_length_c 6.620
_cell_angle_alpha 109.47
_cell_angle_beta 109.47
_cell_angle_gamma 109.47
_space_group_name_H-M_alt 'P 1'
_space_group_IT_number 1
loop_
_space_group_symop_operation_xyz
'x,y,z'
loop_
_atom_site_label
_atom_site_fract_x
_atom_site_fract_y
_atom_site_fract_z
_atom_site_occupancy
Sr1 0.000 0.000 0.000 1
Re1 0.000 0.000 0.500 1
Re2 0.000 0.500 0.000 1
Re3 0.500 0.000 0.000 1
Re4 0.500 0.500 0.500 1
O1 0.000 0.248 0.752 1
O2 0.000 0.752 0.248 1
O3 0.248 0.000 0.752 1
O4 0.248 0.248 0.495 1
O5 0.248 0.495 0.248 1
O6 0.248 0.752 0.000 1
O7 0.495 0.248 0.248 1
O8 0.505 0.752 0.752 1
O9 0.752 0.000 0.248 1
O10 0.752 0.248 0.000 1
O11 0.752 0.505 0.752 1
O12 0.752 0.752 0.505 1
# calculated total energy: -140.7 eV/f.u.
# SG: Im-3m
# M_tot: 0.02 μB per formula unit



# GGA-PBE Li3UAl, relaxed
data_Li3UAl
_cell_length_a 9.501
_cell_length_b 9.501
_cell_length_c 4.431
_cell_angle_alpha 90.00
_cell_angle_beta 90.00
_cell_angle_gamma 119.65
_space_group_name_H-M_alt 'P 1'
_space_group_IT_number 1
loop_
_space_group_symop_operation_xyz
'x,y,z'
loop_
_atom_site_label
_atom_site_fract_x
_atom_site_fract_y
_atom_site_fract_z
_atom_site_occupancy
Li1 0.147 0.293 0.750 1
Li2 0.147 0.853 0.750 1
Li3 0.293 0.147 0.250 1
Li4 0.707 0.853 0.750 1
Li5 0.853 0.147 0.250 1
Li6 0.853 0.707 0.250 1
U1 0.334 0.666 0.750 1
U2 0.666 0.334 0.250 1
Al1 0.000 0.000 0.000 1
Al2 0.000 0.000 0.500 1
# calculated total energy: -14.1 eV/f.u.
# SG: Cmcm
# M_tot: 4.93 μB per formula unit



# GGA-PBE BaThBi, relaxed
data_BaThBi
_cell_length_a 7.985
_cell_length_b 7.985
_cell_length_c 7.985
_cell_angle_alpha 90.00
_cell_angle_beta 90.00
_cell_angle_gamma 90.00
_space_group_name_H-M_alt 'P 1'
_space_group_IT_number 1
loop_
_space_group_symop_operation_xyz
'x,y,z'
loop_
_atom_site_label
_atom_site_fract_x
_atom_site_fract_y
_atom_site_fract_z
_atom_site_occupancy
Ba1 0.000 0.000 0.000 1
Ba2 0.000 0.500 0.500 1
Ba3 0.500 0.000 0.500 1
Ba4 0.500 0.500 0.000 1
Th1 0.250 0.250 0.250 1
Th2 0.250 0.750 0.750 1
Th3 0.750 0.250 0.750 1
Th4 0.750 0.750 0.250 1
Bi1 0.000 0.000 0.500 1
Bi2 0.000 0.500 0.000 1
Bi3 0.500 0.000 0.000 1
Bi4 0.500 0.500 0.500 1
# calculated total energy: -12.2 eV/f.u.
# SG: F-43m
# M_tot: 2.63 μB per formula unit



# GGA-PBE AlZnIn2, relaxed
data_AlZnIn2
_cell_length_a 7.113
_cell_length_b 7.113
_cell_length_c 7.113
_cell_angle_alpha 90.00
_cell_angle_beta 90.00
_cell_angle_gamma 90.00
_space_group_name_H-M_alt 'P 1'
_space_group_IT_number 1
loop_
_space_group_symop_operation_xyz
'x,y,z'
loop_
_atom_site_label
_atom_site_fract_x
_atom_site_fract_y
_atom_site_fract_z
_atom_site_occupancy
Al1 0.000 0.000 0.000 1
Al2 0.000 0.500 0.500 1
Al3 0.500 0.000 0.500 1
Al4 0.500 0.500 0.000 1
Zn1 0.250 0.250 0.250 1
Zn2 0.250 0.750 0.750 1
Zn3 0.750 0.250 0.750 1
Zn4 0.750 0.750 0.250 1
In1 0.000 0.000 0.500 1
In2 0.000 0.500 0.000 1
In3 0.250 0.250 0.750 1
In4 0.250 0.750 0.250 1
In5 0.500 0.000 0.000 1
In6 0.500 0.500 0.500 1
In7 0.750 0.250 0.250 1
In8 0.750 0.750 0.750 1
# calculated total energy: -9.7 eV/f.u.
# SG: F-43m



# GGA-PBE YZrNO, relaxed
data_YZrNO
_cell_length_a 4.698
_cell_length_b 3.867
_cell_length_c 6.730
_cell_angle_alpha 90.00
_cell_angle_beta 90.00
_cell_angle_gamma 90.00
_space_group_name_H-M_alt 'P 1'
_space_group_IT_number 1
loop_
_space_group_symop_operation_xyz
'x,y,z'
loop_
_atom_site_label
_atom_site_fract_x
_atom_site_fract_y
_atom_site_fract_z
_atom_site_occupancy
Y1 0.250 0.000 0.161 1
Y2 0.750 0.000 0.839 1
Zr1 0.250 0.500 0.664 1
Zr2 0.750 0.500 0.336 1
N1 0.250 0.500 0.352 1
N2 0.750 0.500 0.648 1
O1 0.250 0.000 0.809 1
O2 0.750 0.000 0.191 1
# calculated total energy: -36.5 eV/f.u.
# SG: Pmma
# M_tot: 0.00 μB per formula unit



# GGA-PBE SrLuSi, relaxed
data_SrLuSi
_cell_length_a 7.097
_cell_length_b 7.097
_cell_length_c 7.097
_cell_angle_alpha 90.00
_cell_angle_beta 90.00
_cell_angle_gamma 90.00
_space_group_name_H-M_alt 'P 1'
_space_group_IT_number 1
loop_
_space_group_symop_operation_xyz
'x,y,z'
loop_
_atom_site_label
_atom_site_fract_x
_atom_site_fract_y
_atom_site_fract_z
_atom_site_occupancy
Sr1 0.000 0.000 0.000 1
Sr2 0.000 0.500 0.500 1
Sr3 0.500 0.000 0.500 1
Sr4 0.500 0.500 0.000 1
Lu1 0.000 0.000 0.500 1
Lu2 0.000 0.500 0.000 1
Lu3 0.500 0.000 0.000 1
Lu4 0.500 0.500 0.500 1
Si1 0.250 0.250 0.750 1
Si2 0.250 0.750 0.250 1
Si3 0.750 0.250 0.250 1
Si4 0.750 0.750 0.750 1
# calculated total energy: -12.3 eV/f.u.
# SG: F-43m
# M_tot: 0.00 μB per formula unit



# GGA-PBE Nb4PPbN2, relaxed
data_Nb4PPbN2
_cell_length_a 3.315
_cell_length_b 3.315
_cell_length_c 12.693
_cell_angle_alpha 90.00
_cell_angle_beta 90.00
_cell_angle_gamma 120.00
_space_group_name_H-M_alt 'P 1'
_space_group_IT_number 1
loop_
_space_group_symop_operation_xyz
'x,y,z'
loop_
_atom_site_label
_atom_site_fract_x
_atom_site_fract_y
_atom_site_fract_z
_atom_site_occupancy
Nb1 0.000 0.000 0.135 1
Nb2 0.000 0.000 0.865 1
Nb3 0.333 0.667 0.309 1
Nb4 0.333 0.667 0.691 1
P1 0.333 0.667 0.000 1
Pb1 0.000 0.000 0.500 1
N1 0.667 0.333 0.232 1
N2 0.667 0.333 0.768 1
# calculated total energy: -71.2 eV/f.u.
# SG: P-6m2
# M_tot: 0.01 μB per formula unit



# GGA-PBE LiZn2Pt, relaxed
data_LiZn2Pt
_cell_length_a 6.074
_cell_length_b 6.074
_cell_length_c 6.074
_cell_angle_alpha 90.00
_cell_angle_beta 90.00
_cell_angle_gamma 90.00
_space_group_name_H-M_alt 'P 1'
_space_group_IT_number 1
loop_
_space_group_symop_operation_xyz
'x,y,z'
loop_
_atom_site_label
_atom_site_fract_x
_atom_site_fract_y
_atom_site_fract_z
_atom_site_occupancy
Li1 0.000 0.000 0.000 1
Li2 0.000 0.500 0.500 1
Li3 0.500 0.000 0.500 1
Li4 0.500 0.500 0.000 1
Zn1 0.250 0.250 0.250 1
Zn2 0.250 0.250 0.750 1
Zn3 0.250 0.750 0.250 1
Zn4 0.250 0.750 0.750 1
Zn5 0.750 0.250 0.250 1
Zn6 0.750 0.250 0.750 1
Zn7 0.750 0.750 0.250 1
Zn8 0.750 0.750 0.750 1
Pt1 0.000 0.000 0.500 1
Pt2 0.000 0.500 0.000 1
Pt3 0.500 0.000 0.000 1
Pt4 0.500 0.500 0.500 1
# calculated total energy: -12.7 eV/f.u.
# SG: Fm-3m
# M_tot: 0.00 μB per formula unit



# GGA-PBE Te2WS2Br, relaxed
data_Te2WS2Br
_cell_length_a 6.425
_cell_length_b 7.429
_cell_length_c 8.635
_cell_angle_alpha 113.18
_cell_angle_beta 105.78
_cell_angle_gamma 96.92
_space_group_name_H-M_alt 'P 1'
_space_group_IT_number 1
loop_
_space_group_symop_operation_xyz
'x,y,z'
loop_
_atom_site_label
_atom_site_fract_x
_atom_site_fract_y
_atom_site_fract_z
_atom_site_occupancy
Te1 0.121 0.100 0.294 1
Te2 0.379 0.653 0.802 1
Te3 0.621 0.347 0.198 1
Te4 0.879 0.900 0.706 1
W1 0.278 0.000 0.000 1
W2 0.722 0.000 0.000 1
S1 0.019 0.224 0.966 1
S2 0.468 0.153 0.855 1
S3 0.532 0.847 0.145 1
S4 0.981 0.776 0.034 1
Br1 0.243 0.603 0.443 1
Br2 0.757 0.397 0.557 1
# calculated total energy: -31.2 eV/f.u.
# SG: P-1
# M_tot: 0.00 μB per formula unit



# GGA-PBE HoSi2OsPd, relaxed
data_HoSi2OsPd
_cell_length_a 4.078
_cell_length_b 4.078
_cell_length_c 10.014
_cell_angle_alpha 90.00
_cell_angle_beta 90.00
_cell_angle_gamma 90.00
_space_group_name_H-M_alt 'P 1'
_space_group_IT_number 1
loop_
_space_group_symop_operation_xyz
'x,y,z'
loop_
_atom_site_label
_atom_site_fract_x
_atom_site_fract_y
_atom_site_fract_z
_atom_site_occupancy
Ho1 0.000 0.000 0.000 1
Ho2 0.500 0.500 0.500 1
Si1 0.000 0.000 0.381 1
Si2 0.000 0.000 0.619 1
Si3 0.500 0.500 0.119 1
Si4 0.500 0.500 0.881 1
Os1 0.000 0.500 0.250 1
Os2 0.500 0.000 0.750 1
Pd1 0.000 0.500 0.750 1
Pd2 0.500 0.000 0.250 1
# calculated total energy: -35.9 eV/f.u.
# SG: I-4m2
# M_tot: 0.00 μB per formula unit



# GGA-PBE SmCuSnSeS2, relaxed
data_SmCuSnSeS2
_cell_length_a 6.939
_cell_length_b 6.939
_cell_length_c 10.595
_cell_angle_alpha 90.00
_cell_angle_beta 90.00
_cell_angle_gamma 147.11
_space_group_name_H-M_alt 'P 1'
_space_group_IT_number 1
loop_
_space_group_symop_operation_xyz
'x,y,z'
loop_
_atom_site_label
_atom_site_fract_x
_atom_site_fract_y
_atom_site_fract_z
_atom_site_occupancy
Sm1 0.000 0.000 0.000 1
Sm2 0.000 0.000 0.500 1
Cu1 0.468 0.532 0.750 1
Cu2 0.532 0.468 0.250 1
Sn1 0.226 0.774 0.250 1
Sn2 0.774 0.226 0.750 1
Se1 0.089 0.911 0.750 1
Se2 0.911 0.089 0.250 1
S1 0.362 0.638 0.576 1
S2 0.362 0.638 0.924 1
S3 0.638 0.362 0.076 1
S4 0.638 0.362 0.424 1
# calculated total energy: -30.1 eV/f.u.
# SG: Cmcm
# M_tot: 0.00 μB per formula unit



# GGA-PBE RbHg3GeSe4, relaxed
data_RbHg3GeSe4
_cell_length_a 6.893
_cell_length_b 6.893
_cell_length_c 6.893
_cell_angle_alpha 90.00
_cell_angle_beta 90.00
_cell_angle_gamma 90.00
_space_group_name_H-M_alt 'P 1'
_space_group_IT_number 1
loop_
_space_group_symop_operation_xyz
'x,y,z'
loop_
_atom_site_label
_atom_site_fract_x
_atom_site_fract_y
_atom_site_fract_z
_atom_site_occupancy
Rb1 0.000 0.000 0.000 1
Hg1 0.000 0.500 0.500 1
Hg2 0.500 0.000 0.500 1
Hg3 0.500 0.500 0.000 1
Ge1 0.500 0.500 0.500 1
Se1 0.280 0.280 0.280 1
Se2 0.280 0.720 0.720 1
Se3 0.720 0.280 0.720 1
Se4 0.720 0.720 0.280 1
# calculated total energy: -22.6 eV/f.u.
# SG: P-43m



# GGA-PBE HoEr2Fe6Ni3, relaxed
data_HoEr2Fe6Ni3
_cell_length_a 8.744
_cell_length_b 8.744
_cell_length_c 8.744
_cell_angle_alpha 32.84
_cell_angle_beta 32.84
_cell_angle_gamma 32.84
_space_group_name_H-M_alt 'P 1'
_space_group_IT_number 1
loop_
_space_group_symop_operation_xyz
'x,y,z'
loop_
_atom_site_label
_atom_site_fract_x
_atom_site_fract_y
_atom_site_fract_z
_atom_site_occupancy
Ho1 0.000 0.000 0.000 1
Er1 0.141 0.141 0.141 1
Er2 0.859 0.859 0.859 1
Fe1 0.080 0.583 0.583 1
Fe2 0.417 0.417 0.920 1
Fe3 0.417 0.920 0.417 1
Fe4 0.583 0.080 0.583 1
Fe5 0.583 0.583 0.080 1
Fe6 0.920 0.417 0.417 1
Ni1 0.333 0.333 0.333 1
Ni2 0.500 0.500 0.500 1
Ni3 0.667 0.667 0.667 1
# calculated total energy: -82.4 eV/f.u.
# SG: R-3m
# M_tot: 13.22 μB per formula unit



# GGA-PBE Tb2TmIn3CuPd2, relaxed
data_Tb2TmIn3CuPd2
_cell_length_a 3.846
_cell_length_b 7.647
_cell_length_c 7.647
_cell_angle_alpha 119.84
_cell_angle_beta 90.00
_cell_angle_gamma 90.00
_space_group_name_H-M_alt 'P 1'
_space_group_IT_number 1
loop_
_space_group_symop_operation_xyz
'x,y,z'
loop_
_atom_site_label
_atom_site_fract_x
_atom_site_fract_y
_atom_site_fract_z
_atom_site_occupancy
Tb1 0.000 0.205 0.795 1
Tb2 0.000 0.795 0.205 1
Tm1 0.000 0.386 0.386 1
In1 0.500 0.048 0.048 1
In2 0.500 0.543 0.794 1
In3 0.500 0.794 0.543 1
Cu1 0.000 0.794 0.794 1
Pd1 0.500 0.131 0.461 1
Pd2 0.500 0.461 0.131 1
# calculated total energy: -42.3 eV/f.u.
# SG: Amm2
# M_tot: 0.01 μB per formula unit



# GGA-PBE Tl2Cd2O5, relaxed
data_Tl2Cd2O5
_cell_length_a 4.076
_cell_length_b 4.076
_cell_length_c 8.507
_cell_angle_alpha 90.00
_cell_angle_beta 90.00
_cell_angle_gamma 90.00
_space_group_name_H-M_alt 'P 1'
_space_group_IT_number 1
loop_
_space_group_symop_operation_xyz
'x,y,z'
loop_
_atom_site_label
_atom_site_fract_x
_atom_site_fract_y
_atom_site_fract_z
_atom_site_occupancy
Tl1 0.000 0.000 0.238 1
Tl2 0.000 0.000 0.762 1
Cd1 0.500 0.500 0.000 1
Cd2 0.500 0.500 0.500 1
O1 0.000 0.000 0.500 1
O2 0.000 0.500 0.165 1
O3 0.000 0.500 0.835 1
O4 0.500 0.000 0.165 1
O5 0.500 0.000 0.835 1
# calculated total energy: -34.8 eV/f.u.
# SG: P4/mmm



# GGA-PBE ZnGeSeO, relaxed
data_ZnGeSeO
_cell_length_a 5.615
_cell_length_b 7.462
_cell_length_c 15.102
_cell_angle_alpha 90.00
_cell_angle_beta 90.00
_cell_angle_gamma 90.00
_space_group_name_H-M_alt 'P 1'
_space_group_IT_number 1
loop_
_space_group_symop_operation_xyz
'x,y,z'
loop_
_atom_site_label
_atom_site_fract_x
_atom_site_fract_y
_atom_site_fract_z
_atom_site_occupancy
Zn1 0.071 0.244 0.194 1
Zn2 0.071 0.256 0.694 1
Zn3 0.429 0.744 0.194 1
Zn4 0.429 0.756 0.694 1
Zn5 0.571 0.244 0.306 1
Zn6 0.571 0.256 0.806 1
Zn7 0.929 0.744 0.306 1
Zn8 0.929 0.756 0.806 1
Ge1 0.090 0.245 0.422 1
Ge2 0.090 0.255 0.922 1
Ge3 0.410 0.745 0.422 1
Ge4 0.410 0.755 0.922 1
Ge5 0.590 0.245 0.078 1
Ge6 0.590 0.255 0.578 1
Ge7 0.910 0.745 0.078 1
Ge8 0.910 0.755 0.578 1
Se1 0.249 0.005 0.606 1
Se2 0.249 0.495 0.106 1
Se3 0.251 0.505 0.606 1
Se4 0.251 0.995 0.106 1
Se5 0.749 0.005 0.894 1
Se6 0.749 0.495 0.394 1
Se7 0.751 0.505 0.894 1
Se8 0.751 0.995 0.394 1
O1 0.220 0.243 0.311 1
O2 0.220 0.257 0.811 1
O3 0.280 0.743 0.311 1
O4 0.280 0.757 0.811 1
O5 0.720 0.243 0.189 1
O6 0.720 0.257 0.689 1
O7 0.780 0.743 0.189 1
O8 0.780 0.757 0.689 1
# calculated total energy: -17.5 eV/f.u.
# SG: Pbca



# GGA-PBE Cu2Ag3, relaxed
data_Cu2Ag3
_cell_length_a 4.804
_cell_length_b 2.841
_cell_length_c 11.428
_cell_angle_alpha 90.00
_cell_angle_beta 95.67
_cell_angle_gamma 90.00
_space_group_name_H-M_alt 'P 1'
_space_group_IT_number 1
loop_
_space_group_symop_operation_xyz
'x,y,z'
loop_
_atom_site_label
_atom_site_fract_x
_atom_site_fract_y
_atom_site_fract_z
_atom_site_occupancy
Cu1 0.051 0.250 0.409 1
Cu2 0.350 0.750 0.798 1
Cu3 0.650 0.250 0.202 1
Cu4 0.949 0.750 0.591 1
Ag1 0.143 0.750 0.211 1
Ag2 0.252 0.250 0.997 1
Ag3 0.434 0.250 0.602 1
Ag4 0.566 0.750 0.398 1
Ag5 0.748 0.750 0.003 1
Ag6 0.857 0.250 0.789 1
# calculated total energy: -15.4 eV/f.u.
# SG: P2_1/m